Entry 1:
Below is a relaxed Ti2PtN crystal, with properties calculated at the PBE level.

**Raw formation energy**: -0.93 eV/atom

Lattice parameters (Å, degrees): 5.780 5.780 5.470 58.10 58.10 90.00
Fractional positions:
N 0.500 0.500 0.000
N 0.250 0.750 0.500
Ti 0.375 0.458 0.750
Ti 0.208 0.625 0.250
Pt 0.000 0.000 0.000
Ti 0.875 0.792 0.750
Ti 0.542 0.125 0.250
Pt 0.750 0.250 0.500

=====

Entry 2:
Below is a relaxed Ti2VPtN crystal, with properties calculated at the PBE level.

**Raw formation energy**: -1.08 eV/atom

Lattice parameters (Å, degrees): 4.142 4.142 3.864 90.00 90.00 90.00
Fractional positions:
N 0.000 0.000 0.000
Ti 0.500 0.000 0.000
Pt 0.500 0.500 0.500
Ti 0.000 0.500 0.000
V 0.000 0.000 0.500

=====

Entry 3:
Below is a relaxed Tl2PtN crystal, with properties calculated at the PBE level.

**Raw formation energy**: 1.08 eV/atom
**Energy relative to the lowest polymorph listed for this composition**: 37.04 kJ per mole of atoms

Lattice parameters (Å, degrees): 4.725 4.725 4.725 60.00 60.00 60.00
Site moments in Bohr magnetons follow the coordinates.
Fractional positions:
N 0.000 0.000 0.000  0.50
Tl 0.750 0.750 0.750  0.00
Tl 0.250 0.250 0.250  0.00
Pt 0.500 0.500 0.500  0.04

=====

Entry 4:
Below is a relaxed TlPt3N crystal, with properties calculated at the PBE level.

**Raw formation energy**: 2.45 eV/atom
**Energy relative to the lowest polymorph listed for this composition**: 181.69 kJ per mole of atoms

Lattice parameters (Å, degrees): 5.141 5.141 5.141 90.00 90.00 90.00
Site moments in Bohr magnetons follow the coordinates.
Fractional positions:
Tl 0.000 0.000 0.000  -0.01
Pt 0.500 0.000 0.000  0.02
Pt 0.000 0.000 0.500  0.02
N 0.500 0.500 0.500  1.76
Pt 0.000 0.500 0.000  0.03

=====

Entry 5:
Below is a relaxed TlPt2N crystal, with properties calculated at the PBE level.

**Raw formation energy**: 1.29 eV/atom
**Energy relative to the lowest polymorph listed for this composition**: 94.85 kJ per mole of atoms

Lattice parameters (Å, degrees): 4.503 4.503 4.503 60.00 60.00 60.00
Site moments in Bohr magnetons follow the coordinates.
Fractional positions:
Pt 0.750 0.750 0.750  0.33
N 0.000 0.000 0.000  0.88
Tl 0.500 0.500 0.500  0.03
Pt 0.250 0.250 0.250  0.33

=====

Entry 6:
Below is a relaxed Tl2PtN crystal, with properties calculated at the PBE level.

**Raw formation energy**: 0.70 eV/atom
**Energy relative to the lowest polymorph listed for this composition**: 0.00 kJ per mole of atoms

Lattice parameters (Å, degrees): 6.419 6.419 6.140 58.49 58.49 90.00
Fractional positions:
N 0.250 0.750 0.500
Pt 0.750 0.250 0.500
Tl 0.375 0.433 0.750
N 0.500 0.500 0.000
Tl 0.567 0.125 0.250
Tl 0.183 0.625 0.250
Pt 0.000 0.000 0.000
Tl 0.875 0.817 0.750

=====

Entry 7:
Below is a relaxed TlPt3N crystal, with properties calculated at the PBE level.

**Raw formation energy**: 0.57 eV/atom
**Energy relative to the lowest polymorph listed for this composition**: 0.00 kJ per mole of atoms

Lattice parameters (Å, degrees): 4.304 4.304 4.304 90.00 90.00 90.00
Fractional positions:
Pt 0.500 0.000 0.000
Tl 0.500 0.500 0.500
Pt 0.000 0.000 0.500
N 0.000 0.000 0.000
Pt 0.000 0.500 0.000

=====

Entry 8:
Below is a relaxed TlPt2N crystal, with properties calculated at the PBE level.

**Raw formation energy**: 0.31 eV/atom
**Energy relative to the lowest polymorph listed for this composition**: 0.00 kJ per mole of atoms

Lattice parameters (Å, degrees): 5.313 5.313 7.065 67.91 67.91 90.00
Fractional positions:
Pt 0.875 0.626 0.750
Pt 0.376 0.125 0.250
Tl 0.000 0.000 0.000
Pt 0.375 0.624 0.750
N 0.250 0.750 0.500
Tl 0.750 0.250 0.500
N 0.500 0.500 0.000
Pt 0.374 0.625 0.250

=====

Please write out number 5 again, unchanged.
Below is a relaxed TlPt2N crystal, with properties calculated at the PBE level.

**Raw formation energy**: 1.29 eV/atom
**Energy relative to the lowest polymorph listed for this composition**: 94.85 kJ per mole of atoms

Lattice parameters (Å, degrees): 4.503 4.503 4.503 60.00 60.00 60.00
Site moments in Bohr magnetons follow the coordinates.
Fractional positions:
Pt 0.750 0.750 0.750  0.33
N 0.000 0.000 0.000  0.88
Tl 0.500 0.500 0.500  0.03
Pt 0.250 0.250 0.250  0.33

=====

Copy entry 6 word for word.
Below is a relaxed Tl2PtN crystal, with properties calculated at the PBE level.

**Raw formation energy**: 0.70 eV/atom
**Energy relative to the lowest polymorph listed for this composition**: 0.00 kJ per mole of atoms

Lattice parameters (Å, degrees): 6.419 6.419 6.140 58.49 58.49 90.00
Fractional positions:
N 0.250 0.750 0.500
Pt 0.750 0.250 0.500
Tl 0.375 0.433 0.750
N 0.500 0.500 0.000
Tl 0.567 0.125 0.250
Tl 0.183 0.625 0.250
Pt 0.000 0.000 0.000
Tl 0.875 0.817 0.750

=====

What did the eighth record say?
Below is a relaxed TlPt2N crystal, with properties calculated at the PBE level.

**Raw formation energy**: 0.31 eV/atom
**Energy relative to the lowest polymorph listed for this composition**: 0.00 kJ per mole of atoms

Lattice parameters (Å, degrees): 5.313 5.313 7.065 67.91 67.91 90.00
Fractional positions:
Pt 0.875 0.626 0.750
Pt 0.376 0.125 0.250
Tl 0.000 0.000 0.000
Pt 0.375 0.624 0.750
N 0.250 0.750 0.500
Tl 0.750 0.250 0.500
N 0.500 0.500 0.000
Pt 0.374 0.625 0.250